## NdAsPbO (PBE-GGA)

Data for a relaxed structure of NdAsPbO.

Calculated values
calculated volume = 185 Å³ per cell
energy = -5.94 eV/atom
space-group type = P4/nmm (129)
offset from the most stable computed form = 0 meV per atom

Geometry as POSCAR:
```
NdAsPbO
1.0
4.3738 0.0000 0.0000
0.0000 4.3738 0.0000
0.0000 0.0000 9.6573
As Nd O Pb
2 2 2 2
Cartesian
3.2804 3.2804 2.6462 As
1.0935 1.0935 7.0112 As
1.0935 1.0935 1.0042 Nd
3.2804 3.2804 8.6532 Nd
3.2804 1.0935 0.0000 O
1.0935 3.2804 0.0000 O
3.2804 1.0935 4.8287 Pb
1.0935 3.2804 4.8287 Pb
```


## NdAsPbO (PBE-GGA)

Data for a relaxed structure of NdAsPbO.

Calculated values
calculated volume = 176 Å³ per cell
energy = -5.25 eV/atom
space-group type = P4/nmm (129)
offset from the most stable computed form = 694 meV per atom

Geometry as POSCAR:
```
NdAsPbO
1.0
-3.6665 -1.2258 -3.2361
1.1716 -4.8760 0.5196
-4.4637 -0.5129 5.2516
As Nd O Pb
2 2 2 2
Cartesian
-3.2420 -4.7339 -0.4246 As
-3.7166 -1.8809 2.9597 As
-4.6888 -2.3948 0.3286 Nd
-2.2698 -4.2199 2.2065 Nd
-2.4570 -2.1384 -2.2972 O
-0.0379 -3.9635 -0.4193 O
-1.0057 -1.5694 -0.2297 Pb
-5.9528 -5.0454 2.7648 Pb
```


## NdAsPbO (PBE-GGA)

Data for a relaxed structure of NdAsPbO.

Calculated values
calculated volume = 223 Å³ per cell
energy = -5.84 eV/atom
space-group type = Cmme (67)
offset from the most stable computed form = 103 meV per atom

Geometry as POSCAR:
```
NdAsPbO
1.0
3.2251 -3.1976 0.0000
3.2251 3.1976 0.0000
0.0000 0.0000 10.8351
As Nd O Pb
2 2 2 2
Cartesian
4.8377 0.0000 3.2858 As
1.6126 0.0000 7.5492 As
1.6126 0.0000 0.9828 Nd
4.8377 0.0000 9.8523 Nd
3.2251 -1.5988 0.0000 O
3.2251 1.5988 0.0000 O
3.2251 -1.5988 5.4176 Pb
3.2251 1.5988 5.4176 Pb
```


## NdAsPbO (PBE-GGA)

Data for a relaxed structure of NdAsPbO.

Calculated values
calculated volume = 228 Å³ per cell
energy = -5.90 eV/atom
space-group type = Pmc2_1 (26)
offset from the most stable computed form = 48 meV per atom

Geometry as POSCAR:
```
NdAsPbO
1.0
-0.2341 2.2432 3.3933
7.1314 -4.5154 3.4770
3.8080 4.1195 -2.4607
As Nd O Pb
2 2 2 2
Cartesian
4.0626 0.1931 0.1526 As
8.1978 0.8401 0.0101 As
6.4002 -1.2555 1.2715 Nd
5.8970 2.3284 -1.1325 Nd
6.8545 -0.7825 3.4364 O
4.8740 3.7368 0.3121 O
6.0692 -2.6782 4.6354 Pb
2.8687 2.6136 0.9163 Pb
```


## PrNdAs2Pd2O2 (PBE-GGA)

Data for a relaxed structure of PrNdAs2Pd2O2.

Calculated values
calculated volume = 145 Å³ per cell
energy = -6.70 eV/atom
space-group type = P4mm (99)

Geometry as POSCAR:
```
PrNdAs2Pd2O2
1.0
4.2160 0.0000 0.0000
0.0000 4.2160 0.0000
0.0000 0.0000 8.1779
As Nd O Pd Pr
2 1 2 2 1
Cartesian
0.0000 0.0000 2.7385 As
2.1080 2.1080 5.4380 As
2.1080 2.1080 1.1121 Nd
2.1080 0.0000 0.0130 O
0.0000 2.1080 0.0130 O
2.1080 0.0000 4.0835 Pd
0.0000 2.1080 4.0835 Pd
0.0000 0.0000 7.0522 Pr
```


## PrNdZn2As2O2 (PBE-GGA)

Data for a relaxed structure of PrNdZn2As2O2.

Calculated values
calculated volume = 148 Å³ per cell
energy = -5.69 eV/atom
space-group type = P4mm (99)

Geometry as POSCAR:
```
PrNdZn2As2O2
1.0
4.0554 0.0000 0.0000
0.0000 4.0554 0.0000
0.0000 0.0000 9.0162
As Nd O Pr Zn
2 1 2 1 2
Cartesian
0.0000 0.0000 2.9199 As
2.0277 2.0277 6.1006 As
0.0000 0.0000 7.8344 Nd
2.0277 0.0000 9.0040 O
0.0000 2.0277 9.0040 O
2.0277 2.0277 1.2011 Pr
2.0277 0.0000 4.5086 Zn
0.0000 2.0277 4.5086 Zn
```


Repeat the second record exactly.
## NdAsPbO (PBE-GGA)

Data for a relaxed structure of NdAsPbO.

Calculated values
calculated volume = 176 Å³ per cell
energy = -5.25 eV/atom
space-group type = P4/nmm (129)
offset from the most stable computed form = 694 meV per atom

Geometry as POSCAR:
```
NdAsPbO
1.0
-3.6665 -1.2258 -3.2361
1.1716 -4.8760 0.5196
-4.4637 -0.5129 5.2516
As Nd O Pb
2 2 2 2
Cartesian
-3.2420 -4.7339 -0.4246 As
-3.7166 -1.8809 2.9597 As
-4.6888 -2.3948 0.3286 Nd
-2.2698 -4.2199 2.2065 Nd
-2.4570 -2.1384 -2.2972 O
-0.0379 -3.9635 -0.4193 O
-1.0057 -1.5694 -0.2297 Pb
-5.9528 -5.0454 2.7648 Pb
```


Among the records above, which one has the lowest energy? PrNdAs2Pd2O2


Copy entry 6 word for word.
## PrNdZn2As2O2 (PBE-GGA)

Data for a relaxed structure of PrNdZn2As2O2.

Calculated values
calculated volume = 148 Å³ per cell
energy = -5.69 eV/atom
space-group type = P4mm (99)

Geometry as POSCAR:
```
PrNdZn2As2O2
1.0
4.0554 0.0000 0.0000
0.0000 4.0554 0.0000
0.0000 0.0000 9.0162
As Nd O Pr Zn
2 1 2 1 2
Cartesian
0.0000 0.0000 2.9199 As
2.0277 2.0277 6.1006 As
0.0000 0.0000 7.8344 Nd
2.0277 0.0000 9.0040 O
0.0000 2.0277 9.0040 O
2.0277 2.0277 1.2011 Pr
2.0277 0.0000 4.5086 Zn
0.0000 2.0277 4.5086 Zn
```